1.
Computed, not measured: a relaxed structure of UPPb at the PBE level of DFT.

* final energy: -41.70 eV/cell
* energy of formation: -0.147 eV/atom

Unit cell a=3.8595 b=3.8595 c=11.4454 alpha=90.00 beta=90.00 gamma=120.00
Space group P-3m1 (No. 164)
Asymmetric unit:
U: 0.3333 0.6667 0.4423
P: 0.3333 0.6667 0.7027
Pb: 0.3333 0.6667 0.1293

***

2.
Computed, not measured: a relaxed structure of Fe3Pt2Rh6 at the PBE level of DFT.

* final energy: -157.11 eV/cell
* energy of formation: 0.275 eV/atom

Unit cell a=3.6675 b=3.6675 c=25.2405 alpha=90.00 beta=90.00 gamma=90.00
Space group I4/mmm (No. 139)
Asymmetric unit:
Fe: 0.0000 0.0000 0.0000
Fe: 0.0000 0.0000 0.1954
Pt: 0.0000 0.0000 0.4506
Rh: 0.0000 0.0000 0.2911
Rh: 0.0000 0.5000 0.1260

***

3.
Computed, not measured: a relaxed structure of PmY4Ho2Sc at the PBE level of DFT.

* final energy: -170.29 eV/cell
* energy of formation: 0.440 eV/atom

Unit cell a=13.4968 b=13.1272 c=6.7619 alpha=90.00 beta=120.06 gamma=90.00
Space group C2/c (No. 15)
Asymmetric unit:
Pm: 0.2500 0.2500 0.0000
Y: 0.0001 0.2406 0.0012
Y: 0.2394 0.0015 0.4885
Ho: 0.0000 0.5000 0.0000
Ho: 0.2500 0.2500 0.5000
Sc: 0.0000 0.0000 0.0000

***

4.
Computed, not measured: a relaxed structure of Zn2HgOs at the PBE level of DFT.

* final energy: -38.53 eV/cell
* energy of formation: 0.309 eV/atom

Unit cell a=2.8713 b=2.8713 c=28.0383 alpha=90.00 beta=90.00 gamma=120.00
Space group R-3m (No. 166, hexagonal axes)
Asymmetric unit:
Zn: 0.0000 0.0000 0.2408
Hg: 0.0000 0.0000 0.0000
Os: 0.0000 0.0000 0.5000

***

5.
Computed, not measured: a relaxed structure of SmThScPa at the PBE level of DFT.

* final energy: -106.33 eV/cell
* energy of formation: 0.346 eV/atom

Unit cell a=7.7203 b=7.7203 c=7.7203 alpha=90.00 beta=90.00 gamma=90.00
Space group F-43m (No. 216)
Asymmetric unit:
Sm: 0.0000 0.0000 0.0000
Th: 0.2500 0.2500 0.7500
Sc: 0.2500 0.2500 0.2500
Pa: 0.0000 0.0000 0.5000

***

6.
Computed, not measured: a relaxed structure of CsZnAsAu at the PBE level of DFT.

* final energy: -22.48 eV/cell
* energy of formation: -0.296 eV/atom

Unit cell a=4.0239 b=4.0239 c=14.0011 alpha=90.00 beta=90.00 gamma=90.00
Space group P4/nmm (No. 129, origin choice 2)
Asymmetric unit:
Cs: 0.2500 0.2500 0.2248
Zn: 0.2500 0.7500 0.5000
As: 0.2500 0.2500 0.6131
Au: 0.2500 0.7500 0.0000

***

7.
Computed, not measured: a relaxed structure of ThTlIn4 at the PBE level of DFT.

* final energy: -83.50 eV/cell
* energy of formation: -0.023 eV/atom

Unit cell a=8.6805 b=8.6805 c=8.6805 alpha=90.00 beta=90.00 gamma=90.00
Space group F-43m (No. 216)
Asymmetric unit:
Th: 0.0000 0.0000 0.0000
Tl: 0.2500 0.2500 0.7500
In: 0.1251 0.1251 0.3749

***

8.
Computed, not measured: a relaxed structure of MgScPt at the PBE level of DFT.

* final energy: -15.94 eV/cell
* energy of formation: -0.659 eV/atom

Unit cell a=4.5964 b=4.5964 c=2.9972 alpha=90.00 beta=90.00 gamma=120.00
Space group P3m1 (No. 156)
Asymmetric unit:
Mg: 0.0000 0.0000 0.0000
Sc: 0.3333 0.6667 0.5503
Pt: 0.6667 0.3333 0.1621

***

9.
Computed, not measured: a relaxed structure of K2SbBr at the PBE level of DFT.

* final energy: -20.76 eV/cell
* uncorrected formation energy: -0.598 eV/atom

Unit cell a=4.2245 b=8.0228 c=10.5430 alpha=90.00 beta=90.00 gamma=90.00
Space group Immm (No. 71)
Asymmetric unit:
K: 0.0000 0.0000 0.2189
Sb: 0.0000 0.5000 0.0000
Br: 0.0000 0.5000 0.5000

***

10.
Computed, not measured: a relaxed structure of RbPa2AgSe8 at the PBE level of DFT.

* final energy: -59.34 eV/cell
* uncorrected formation energy: -0.721 eV/atom

Unit cell a=6.3879 b=6.3879 c=9.5452 alpha=90.00 beta=90.00 gamma=120.00
Space group P-3m1 (No. 164)
Asymmetric unit:
Rb: 0.0000 0.0000 0.0000
Pa: 0.3333 0.6667 0.3912
Ag: 0.0000 0.0000 0.5000
Se: 0.1830 0.3660 0.6638
Se: 0.3333 0.6667 0.1217

***

11.
Computed, not measured: a relaxed structure of CaHfSb2 at the PBE level of DFT.

* final energy: -22.32 eV/cell
* uncorrected formation energy: -0.529 eV/atom

Unit cell a=3.5809 b=3.5809 c=7.9311 alpha=90.00 beta=90.00 gamma=90.00
Space group P4/mmm (No. 123)
Asymmetric unit:
Ca: 0.0000 0.0000 0.0000
Hf: 0.0000 0.0000 0.5000
Sb: 0.5000 0.5000 0.2790

***

12.
Computed, not measured: a relaxed structure of Er5Zn4Pt at the PBE level of DFT.

* final energy: -39.43 eV/cell
* energy of formation: -0.548 eV/atom

Unit cell a=3.5409 b=3.5409 c=17.3902 alpha=90.00 beta=90.00 gamma=90.00
Space group P4/mmm (No. 123)
Asymmetric unit:
Er: 0.0000 0.0000 0.0000
Er: 0.0000 0.0000 0.2029
Er: 0.0000 0.0000 0.4053
Zn: 0.5000 0.5000 0.1020
Zn: 0.5000 0.5000 0.3009
Pt: 0.5000 0.5000 0.5000

***

13.
Computed, not measured: a relaxed structure of ReH2Os at the PBE level of DFT.

* final energy: -114.07 eV/cell

Unit cell a=4.1522 b=4.1522 c=8.2496 alpha=90.00 beta=90.00 gamma=90.00
Space group I-42d (No. 122)
Asymmetric unit:
Re: 0.0000 0.0000 0.0000
H: 0.2440 0.2500 0.6250
Os: 0.0000 0.0000 0.5000

***

14.
Computed, not measured: a relaxed structure of CsLiCd2Rh at the PBE level of DFT.

* final energy: -11.97 eV/cell
* energy of formation: -0.005 eV/atom

Unit cell a=5.3701 b=5.3701 c=5.0924 alpha=90.00 beta=90.00 gamma=90.00
Space group P4/mmm (No. 123)
Asymmetric unit:
Cs: 0.0000 0.0000 0.0000
Li: 0.5000 0.5000 0.0000
Cd: 0.0000 0.5000 0.5000
Rh: 0.5000 0.5000 0.5000

***

15.
Computed, not measured: a relaxed structure of NaCoOs at the PBE level of DFT.

* final energy: -72.51 eV/cell
* energy of formation: 0.509 eV/atom

Unit cell a=9.0416 b=2.7279 c=8.7920 alpha=90.00 beta=111.17 gamma=90.00
Space group C2/m (No. 12)
Asymmetric unit:
Na: 0.1660 0.0000 0.1158
Co: 0.0015 0.5000 0.3123
Os: 0.1533 0.0000 0.5481

***

16.
Computed, not measured: a relaxed structure of ErMgScCd at the PBE level of DFT.

* final energy: -56.42 eV/cell
* energy of formation: -0.175 eV/atom

Unit cell a=7.2923 b=7.2923 c=7.2923 alpha=90.00 beta=90.00 gamma=90.00
Space group F-43m (No. 216)
Asymmetric unit:
Er: 0.0000 0.0000 0.0000
Mg: 0.2500 0.2500 0.7500
Sc: 0.0000 0.0000 0.5000
Cd: 0.2500 0.2500 0.2500

***

17.
Computed, not measured: a relaxed structure of CsTc3Se at the PBE level of DFT.

* final energy: -19.86 eV/cell
* uncorrected formation energy: 3.114 eV/atom

Unit cell a=5.0157 b=5.0157 c=5.0157 alpha=90.00 beta=90.00 gamma=90.00
Space group Pm-3m (No. 221)
Asymmetric unit:
Cs: 0.0000 0.0000 0.0000
Tc: 0.0000 0.0000 0.5000
Se: 0.5000 0.5000 0.5000

***

18.
Computed, not measured: a relaxed structure of CuBiSb2O at the PBE level of DFT.

* final energy: -17.21 eV/cell
* uncorrected formation energy: 0.795 eV/atom

Unit cell a=4.9216 b=4.9216 c=5.3435 alpha=90.00 beta=90.00 gamma=90.00
Space group P4/mmm (No. 123)
Asymmetric unit:
Cu: 0.0000 0.0000 0.0000
Bi: 0.0000 0.0000 0.5000
Sb: 0.0000 0.5000 0.0000
O: 0.5000 0.5000 0.5000

***

19.
Computed, not measured: a relaxed structure of LiCrTcRu at the PBE level of DFT.

* final energy: -121.90 eV/cell
* energy of formation: 0.176 eV/atom

Unit cell a=5.8667 b=5.8667 c=5.8667 alpha=90.00 beta=90.00 gamma=90.00
Space group F-43m (No. 216)
Asymmetric unit:
Li: 0.0000 0.0000 0.0000
Cr: 0.0000 0.0000 0.5000
Tc: 0.2500 0.2500 0.2500
Ru: 0.2500 0.2500 0.7500

***

20.
Computed, not measured: a relaxed structure of YMgTe2N at the PBE level of DFT.

* final energy: -22.36 eV/cell
* uncorrected formation energy: 0.061 eV/atom

Unit cell a=6.0600 b=6.0600 c=4.0895 alpha=90.00 beta=90.00 gamma=90.00
Space group P4/mmm (No. 123)
Asymmetric unit:
Y: 0.0000 0.0000 0.0000
Mg: 0.5000 0.5000 0.5000
Te: 0.0000 0.5000 0.0000
N: 0.0000 0.0000 0.5000